Record 1
{"formula": "ReTcHg2Pb", "functional": "GGA-PBE", "state": "optimized geometry", "lattice": [[5.476, 0.000, 0.000], [0.000, 5.476, 0.000], [0.000, 0.000, 5.221]], "species": ["Re", "Tc", "Hg", "Hg", "Pb"], "fractional_positions": [[0.000, 0.000, 0.000], [0.500, 0.500, 0.000], [0.000, 0.500, 0.500], [0.500, 0.000, 0.500], [0.500, 0.500, 0.500]], "m_tot_mub_per_fu": 4.3, "final_energy_ha_per_atom": -0.11054, "volume_a3_per_atom": 31.31, "density_kg_m3": 9467, "e_form_ev_per_fu": 12.086}


Record 2
{"formula": "In2BiI4", "functional": "GGA-PBE", "state": "optimized geometry", "lattice": [[-4.240, 4.240, 4.364], [4.240, -4.240, 4.364], [4.240, 4.240, -4.364]], "species": ["In", "In", "Bi", "I", "I", "I", "I"], "fractional_positions": [[0.250, 0.750, 0.500], [0.750, 0.250, 0.500], [0.000, 0.000, 0.000], [0.256, 0.256, 0.514], [0.258, 0.744, 0.000], [0.742, 0.742, 0.486], [0.744, 0.258, 0.000]], "m_tot_mub_per_fu": 1.0, "final_energy_ha_per_atom": -0.09336, "volume_a3_per_atom": 44.83, "density_kg_m3": 5007, "formation_energy_uncorrected_ev_per_atom": -0.318}


Record 3
{"formula": "LaSm3Hg2", "functional": "GGA-PBE", "state": "optimized geometry", "lattice": [[8.221, -2.735, 0.000], [8.221, 2.735, 0.000], [-3.901, 0.000, 8.195]], "species": ["La", "La", "Sm", "Sm", "Sm", "Sm", "Sm", "Sm", "Hg", "Hg", "Hg", "Hg"], "fractional_positions": [[0.131, 0.131, 0.188], [0.869, 0.869, 0.812], [0.063, 0.063, 0.722], [0.306, 0.306, 0.994], [0.381, 0.381, 0.470], [0.619, 0.619, 0.530], [0.694, 0.694, 0.006], [0.937, 0.937, 0.278], [0.225, 0.225, 0.601], [0.490, 0.490, 0.833], [0.510, 0.510, 0.167], [0.775, 0.775, 0.399]], "m_tot_mub_per_fu": 0.0, "final_energy_ha_per_atom": -0.13036, "volume_a3_per_atom": 30.71, "density_kg_m3": 8932, "e_form_ev_per_fu": -1.595}